The following is a DFT calculation (PBE-GGA) of crystalline BeSn2B2Rh5 at its relaxed geometry.

extended XYZ file:
```
20
Lattice="3.022 0.000 0.000 0.000 9.360 0.000 0.000 0.000 9.360" Properties=species:S:1:pos:R:3 pbc="T T T"
B 0.000 3.478 1.202
B 0.000 5.882 8.158
B 0.000 8.158 3.478
B 0.000 1.202 5.882
Sn 0.000 3.035 7.714
Sn 0.000 1.645 3.035
Sn 0.000 7.714 6.325
Sn 0.000 6.325 1.645
Rh 1.511 2.728 5.364
Rh 1.511 5.364 6.631
Rh 1.511 8.675 1.952
Rh 1.511 6.631 3.995
Rh 1.511 0.000 4.680
Rh 1.511 1.952 0.685
Rh 1.511 7.408 8.675
Rh 1.511 4.680 0.000
Rh 1.511 0.685 7.408
Rh 1.511 3.995 2.728
Be 0.000 0.000 0.000
Be 0.000 4.680 4.680
```

Results
Calculated total energy ... -129.50 eV/cell

The following is a DFT calculation (PBE-GGA) of crystalline Tb2BeB2Rh5 at its relaxed geometry.

extended XYZ file:
```
20
Lattice="-0.104 -0.334 -3.119 -2.914 -8.899 1.049 -8.955 2.931 -0.016" Properties=species:S:1:pos:R:3 pbc="T T T"
B -9.659 -2.993 0.642
B -5.957 0.721 0.121
B -5.912 -6.689 0.912
B -2.210 -2.974 0.392
Be 0.000 0.000 0.000
Be -5.934 -2.984 0.517
Rh -7.293 1.535 -1.501
Rh -8.095 -3.128 -0.975
Rh -4.680 -7.837 -0.585
Rh -4.529 1.298 -1.567
Rh -5.971 -1.053 -1.268
Rh -1.281 -1.867 -1.337
Rh -6.001 -5.248 -0.818
Rh -1.509 -4.616 -1.035
Rh -10.692 -4.434 -0.749
Rh -3.878 -3.173 -1.111
Tb -8.322 -0.468 0.327
Tb -8.455 -5.351 0.854
Tb -3.546 -5.500 0.706
Tb -3.414 -0.617 0.180
```

Results
Calculated total energy ... -140.15 eV/cell

no.,ΔH_f (0 K) (eV/atom)
1,-0.29
2,-0.70